(1)
SrTe2Au after structural relaxation, computed with PBE-GGA. Values from VASP.

The structure in Quantum ESPRESSO input format:
```
&SYSTEM
  ibrav = 0, nat = 4, ntyp = 3
/
ATOMIC_SPECIES
Sr 87.62 Sr.upf
Te 127.60 Te.upf
Au 196.97 Au.upf
CELL_PARAMETERS angstrom
6.061 -2.376 0.000
6.061 2.376 0.000
-0.945 0.000 4.567
ATOMIC_POSITIONS crystal
Sr 0.000 0.000 0.000
Te 0.435 0.435 0.448
Te 0.685 0.685 0.895
Au 0.293 0.293 0.858
```

Computed properties:
- SG: Cm, No. 8
- Formation energy (no corrections): -0.75 eV/atom
- DOS at the Fermi energy: 0.486 states/eV per atom

(2)
SrZrNi3 after structural relaxation, computed with PBE-GGA. Values from VASP.

The structure in Quantum ESPRESSO input format:
```
&SYSTEM
  ibrav = 0, nat = 5, ntyp = 3
/
ATOMIC_SPECIES
Sr 87.62 Sr.upf
Zr 91.22 Zr.upf
Ni 58.69 Ni.upf
CELL_PARAMETERS angstrom
4.800 0.000 0.000
0.000 4.800 0.000
0.000 0.000 4.800
ATOMIC_POSITIONS crystal
Sr 0.000 0.000 0.000
Zr 0.500 0.500 0.500
Ni 0.000 0.500 0.500
Ni 0.500 0.000 0.500
Ni 0.500 0.500 0.000
```

Computed properties:
- SG: Pm-3m, No. 221
- ΔE to the lowest computed polymorph: 0.0 meV per atom
- Calculated formation energy: 0.454 eV per atom
- DOS at the Fermi energy: 0.933 states/eV per atom

(3)
Y2AlAs after structural relaxation, computed with PBE-GGA. Values from VASP.

The structure in Quantum ESPRESSO input format:
```
&SYSTEM
  ibrav = 0, nat = 4, ntyp = 3
/
ATOMIC_SPECIES
Y 88.91 Y.upf
Al 26.98 Al.upf
As 74.92 As.upf
CELL_PARAMETERS angstrom
-2.110 2.110 5.324
2.110 -2.110 5.324
2.110 2.110 -5.324
ATOMIC_POSITIONS crystal
Y 0.000 0.000 0.000
Y 0.750 0.250 0.500
Al 0.250 0.750 0.500
As 0.500 0.500 0.000
```

Computed properties:
- SG: I-4m2, No. 119
- ΔE to the lowest computed polymorph: 224.7 meV per atom
- Calculated formation energy: -0.656 eV per atom
- DOS at the Fermi energy: 0.661 states/eV per atom

(4)
Bi2SBr after structural relaxation, computed with PBE-GGA. Values from VASP.

The structure in Quantum ESPRESSO input format:
```
&SYSTEM
  ibrav = 0, nat = 8, ntyp = 3
/
ATOMIC_SPECIES
Bi 208.98 Bi.upf
S 32.06 S.upf
Br 79.90 Br.upf
CELL_PARAMETERS angstrom
4.418 0.000 0.000
2.132 7.847 0.000
0.048 4.168 8.205
ATOMIC_POSITIONS crystal
Bi 0.000 0.000 0.000
Bi 0.132 0.258 0.411
Bi 0.361 0.510 0.523
Bi 0.630 0.745 0.964
S 0.754 0.641 0.293
S 0.929 0.284 0.703
Br 0.388 0.324 0.115
Br 0.611 0.884 0.603
```

Computed properties:
- SG: P1, No. 1
- Formation energy (no corrections): -0.30 eV/atom
- ΔE to the lowest computed polymorph: 0.0 meV per atom
- DOS at the Fermi energy: 0.022 states/eV per atom

(5)
ZnGePRh2 after structural relaxation, computed with PBE-GGA. Values from VASP.

The structure in Quantum ESPRESSO input format:
```
&SYSTEM
  ibrav = 0, nat = 5, ntyp = 4
/
ATOMIC_SPECIES
Zn 65.41 Zn.upf
Ge 72.64 Ge.upf
P 30.97 P.upf
Rh 102.91 Rh.upf
CELL_PARAMETERS angstrom
4.680 0.000 0.000
0.000 4.680 0.000
0.000 0.000 4.206
ATOMIC_POSITIONS crystal
Zn 0.000 0.000 0.000
Ge 0.500 0.500 0.500
P 0.000 0.000 0.500
Rh 0.000 0.500 0.000
Rh 0.500 0.000 0.000
```

Computed properties:
- SG: P4/mmm, No. 123
- Calculated formation energy: 0.853 eV per atom
- DOS at the Fermi energy: 0.986 states/eV per atom

(6)
MgGa3Co after structural relaxation, computed with PBE-GGA. Values from VASP.

The structure in Quantum ESPRESSO input format:
```
&SYSTEM
  ibrav = 0, nat = 20, ntyp = 3
/
ATOMIC_SPECIES
Mg 24.30 Mg.upf
Ga 69.72 Ga.upf
Co 58.93 Co.upf
CELL_PARAMETERS angstrom
6.953 0.000 0.000
0.000 5.144 0.000
-2.049 0.000 9.095
ATOMIC_POSITIONS crystal
Mg 0.171 0.090 0.235
Mg 0.171 0.410 0.735
Mg 0.829 0.590 0.265
Mg 0.829 0.910 0.765
Ga 0.127 0.623 0.092
Ga 0.127 0.877 0.592
Ga 0.217 0.503 0.414
Ga 0.217 0.997 0.914
Ga 0.468 0.160 0.607
Ga 0.468 0.340 0.107
Ga 0.532 0.660 0.893
Ga 0.532 0.840 0.393
Ga 0.783 0.003 0.086
Ga 0.783 0.497 0.586
Ga 0.873 0.123 0.408
Ga 0.873 0.377 0.908
Co 0.459 0.668 0.624
Co 0.459 0.832 0.124
Co 0.541 0.168 0.876
Co 0.541 0.332 0.376
```

Computed properties:
- SG: P2_1/c, No. 14
- ΔE to the lowest computed polymorph: 39.4 meV per atom
- Calculated formation energy: -0.149 eV per atom
- DOS at the Fermi energy: 0.589 states/eV per atom